Record 1
The following is a PBEsol calculation of crystalline ScPdBr2 at its relaxed geometry, from the Alexandria database.

Geometry as POSCAR:
```
ScPdBr2
1.0
-0.0218 -3.0583 -1.6064
2.1162 -2.5193 1.0530
-5.2558 -4.6255 5.1626
Br Sc Pd
2 1 1
direct
0.9035 0.9035 0.2894
0.0965 0.0965 0.7106
0.5000 0.5000 0.5000
0.0000 0.0000 0.0000
```

Results
The value obtained for the total magnetization is 0.00 μB/f.u. The calculation puts the density of states at the Fermi level at 0.5161 states/eV/atom. Its uncorrected formation energy is -710 meV/atom.

Record 2
The following is a PBEsol calculation of crystalline ScPd3Br at its relaxed geometry, from the Alexandria database.

Geometry as POSCAR:
```
ScPd3Br
1.0
4.6709 0.0000 0.0000
0.0000 4.6709 0.0000
0.0000 0.0000 4.6709
Pd Br Sc
3 1 1
direct
0.5000 0.0000 0.0000
0.0000 0.5000 0.0000
0.0000 0.0000 0.5000
0.0000 0.0000 0.0000
0.5000 0.5000 0.5000
```

Results
The value obtained for the total magnetization is 0.00 μB/f.u. The calculation puts the density of states at the Fermi level at 0.8843 states/eV/atom. Its uncorrected formation energy is 326 meV/atom.

Record 3
The following is a PBEsol calculation of crystalline ScPdSeBr2 at its relaxed geometry, from the Alexandria database.

Geometry as POSCAR:
```
ScPdSeBr2
1.0
-0.7665 3.3538 -3.4836
3.4522 -2.0903 -2.7720
-3.5134 -2.9989 -2.1141
Br Pd Sc Se
2 1 1 1
direct
0.5000 0.0000 0.0000
0.0000 0.5000 0.0000
0.0000 0.0000 0.0000
0.5000 0.5000 0.5000
0.0000 0.0000 0.5000
```

Results
The value obtained for the total magnetization is 0.69 μB/f.u. The calculation puts the density of states at the Fermi level at 1.1177 states/eV/atom. Its uncorrected formation energy is -252 meV/atom.

Record 4
The following is a PBEsol calculation of crystalline PdSe2Br at its relaxed geometry, from the Alexandria database.

Geometry as POSCAR:
```
PdSe2Br
1.0
3.7593 0.0000 0.0000
0.0000 4.6375 -0.0652
0.0000 -1.5205 5.0900
Br Se Pd
1 2 1
direct
0.5000 0.0000 0.0000
0.0000 0.6380 0.3451
0.0000 0.3620 0.6549
0.5000 0.0000 0.5000
```

Results
The value obtained for the total magnetization is 0.00 μB/f.u. The calculation puts the density of states at the Fermi level at 0.1714 states/eV/atom. Its uncorrected formation energy is -292 meV/atom.

Record 5
The following is a PBEsol calculation of crystalline YPdSe2Br at its relaxed geometry, from the Alexandria database.

Geometry as POSCAR:
```
YPdSe2Br
1.0
-1.2401 -3.3097 3.2480
-0.3505 -3.3961 -3.5944
4.7763 -1.1657 0.6357
Y Br Se Pd
1 1 2 1
direct
0.5000 0.5000 0.5000
0.5000 0.0000 0.0000
0.0000 0.5000 0.0000
0.0000 0.0000 0.5000
0.0000 0.0000 0.0000
```

Results
The value obtained for the total magnetization is 0.00 μB/f.u. The calculation puts the density of states at the Fermi level at 0.2312 states/eV/atom. Its uncorrected formation energy is -597 meV/atom.

Record 6
The following is a PBEsol calculation of crystalline ZrPdSeBr2 at its relaxed geometry, from the Alexandria database.

Geometry as POSCAR:
```
ZrPdSeBr2
1.0
5.1078 0.0000 0.0000
0.0000 5.1956 0.0000
0.0000 0.0000 5.1956
Se Br Zr Pd
1 2 1 1
direct
0.5000 0.0000 0.0000
0.0000 0.0000 0.5000
0.0000 0.5000 0.0000
0.0000 0.0000 0.0000
0.5000 0.5000 0.5000
```

Results
The value obtained for the total magnetization is 0.32 μB/f.u. Its distance to the lowest polymorph of the same formula is 0.000 eV per atom. The calculation puts the density of states at the Fermi level at 1.7909 states/eV/atom. Its uncorrected formation energy is -227 meV/atom.